1.
Material: CeEuMgAu
Method: DFT, PBE
State: relaxed

Summary:
Its density of states at the Fermi level is 1.816 states/eV per atom. As for the volume: 97.3 Å³/f.u. The formation energy comes out at -0.2483 eV/atom. As for the total DFT energy (no corrections): -22.1 eV/cell. Its total magnetization is 2.029 μB per atom. As for the space group: F-43m (216).

a = 5.1622 Å, b = 5.1622 Å, c = 5.1622 Å
α = 60.00°, β = 60.00°, γ = 60.00°
Fractional positions:
Ce (0.0000, 0.0000, 0.0000)
Eu (0.2500, 0.2500, 0.2500)
Mg (0.5000, 0.5000, 0.5000)
Au (0.7500, 0.7500, 0.7500)


2.
Material: AlCr2Os
Method: DFT, PBE
State: relaxed

Summary:
Its density of states at the Fermi level is 1.310 states/eV per atom. As for the volume: 53.0 Å³/f.u. The formation energy comes out at 0.1599 eV/atom. As for the total DFT energy (no corrections): -33.6 eV/cell. Its total magnetization is 0.000 μB per atom. As for the space group: Cmmm (65).

a = 2.6077 Å, b = 2.6077 Å, c = 8.4332 Å
α = 90.00°, β = 90.00°, γ = 112.56°
Fractional positions:
Al (0.0000, 0.0000, 0.0000)
Cr (0.5000, 0.5000, 0.2499)
Cr (0.5000, 0.5000, 0.7501)
Os (0.0000, 0.0000, 0.5000)